A relaxed structure of MnAl2V, computed with GGA-PBE.

Properties
For the formation energy from the elements, the calculation gives 1.13 eV per formula unit.

Unit cell a=6.813 b=6.813 c=5.219 alpha=90.00 beta=90.00 gamma=90.00
Space group I-42d (No. 122)
Asymmetric unit:
Mn 0.000 0.000 0.000 [4 per cell]
Al 0.236 0.250 0.125 [8 per cell]
V 0.000 0.000 0.500 [4 per cell]

---

A relaxed structure of DyCuTe2, computed with GGA-PBE.

Properties
For the uncorrected formation energy, the calculation gives -84.98 kJ/mol of atoms.

Unit cell a=4.3636 b=4.3636 c=6.9056 alpha=90.00 beta=90.00 gamma=120.00
Space group P3m1 (No. 156)
Asymmetric unit:
Dy 0.0000 0.0000 0.0000 [1 per cell]
Cu 0.3333 0.6667 0.3718 [1 per cell]
Te 0.3333 0.6667 0.7542 [1 per cell]
Te 0.6667 0.3333 0.2750 [1 per cell]